! LaPr6Dy3 PBE relaxed; values from VASP
&SYSTEM
  ibrav = 0, nat = 20, ntyp = 3
/
ATOMIC_SPECIES
La 138.91 La.upf
Pr 140.91 Pr.upf
Dy 162.50 Dy.upf
CELL_PARAMETERS angstrom
-5.400 1.440 0.791
-2.919 -7.229 -6.770
2.055 -9.060 8.787
ATOMIC_POSITIONS angstrom
La -3.133 -7.424 1.404
La 0.000 0.000 0.000
Pr -3.018 -13.085 2.243
Pr -4.053 -9.747 -0.758
Pr -2.840 -5.203 -1.067
Pr -3.425 -9.646 3.875
Pr -2.212 -5.101 3.567
Pr -3.247 -1.763 0.565
Pr -6.294 -6.716 -0.706
Pr -7.372 -3.485 -3.808
Pr -3.063 -5.423 7.084
Pr -3.202 -9.425 -4.276
Pr 1.107 -11.364 6.616
Pr 0.029 -8.132 3.515
Dy -1.142 -8.427 6.789
Dy -4.160 -2.894 -2.989
Dy -5.123 -6.421 -3.981
Dy -5.328 -4.312 1.729
Dy 1.027 -4.530 4.394
Dy -0.937 -10.536 1.080
! energy above the most stable polymorph in this dataset = 81 meV per atom
! size of the total moment = 0.00 μB/cell
! calculated formation energy = 0.2146 eV/atom
! DOS at the Fermi energy = 32.9 states/eV per cell
! electronic total energy = -45.3 eV/f.u.

---

! Sr2MnIr PBE relaxed; values from VASP
&SYSTEM
  ibrav = 0, nat = 4, ntyp = 3
/
ATOMIC_SPECIES
Ir 192.22 Ir.upf
Mn 54.94 Mn.upf
Sr 87.62 Sr.upf
CELL_PARAMETERS angstrom
6.868 0.514 -0.124
3.612 5.865 0.124
-4.924 -3.709 3.075
ATOMIC_POSITIONS angstrom
Ir 4.465 2.718 0.000
Mn 2.662 3.097 1.600
Sr 0.097 0.059 0.000
Sr 3.573 -0.015 1.475
! energy above the most stable polymorph in this dataset = 94 meV per atom
! size of the total moment = 4.29 μB/cell
! calculated formation energy = 0.1257 eV/atom
! DOS at the Fermi energy = 2.6 states/eV per cell
! electronic total energy = -20.9 eV/f.u.

---

! Dy6YIn2 PBE relaxed; values from VASP
&SYSTEM
  ibrav = 0, nat = 9, ntyp = 3
/
ATOMIC_SPECIES
Dy 162.50 Dy.upf
Y 88.91 Y.upf
In 114.82 In.upf
CELL_PARAMETERS angstrom
3.697 0.000 0.587
1.618 6.195 1.745
0.030 -0.025 11.745
ATOMIC_POSITIONS angstrom
Dy 3.355 3.141 2.742
Dy 1.991 3.029 11.335
Dy 2.451 4.909 8.433
Dy 4.766 4.253 5.792
Dy 0.580 1.917 8.284
Dy 2.894 1.261 5.643
Y 0.000 0.000 0.000
In 1.455 0.490 2.773
In 3.891 5.680 11.304
! energy above the most stable polymorph in this dataset = 0 meV per atom
! size of the total moment = 0.00 μB/cell
! calculated formation energy = -0.2101 eV/atom
! DOS at the Fermi energy = 11.3 states/eV per cell
! electronic total energy = -41.4 eV/f.u.

---

! KBaReO4 PBE relaxed; values from VASP
&SYSTEM
  ibrav = 0, nat = 7, ntyp = 4
/
ATOMIC_SPECIES
K 39.10 K.upf
Ba 137.33 Ba.upf
Re 186.21 Re.upf
O 16.00 O.upf
CELL_PARAMETERS angstrom
7.091 0.000 0.000
3.546 6.141 0.000
3.546 2.047 5.790
ATOMIC_POSITIONS angstrom
K 7.091 4.094 2.895
Ba 10.637 6.141 4.342
Re 3.546 2.047 1.447
O 7.091 4.094 5.461
O 4.995 2.884 2.039
O 7.091 6.514 2.039
O 9.187 2.884 2.039
! size of the total moment = 0.00 μB/cell
! DOS at the Fermi energy = 3.0 states/eV per cell
! electronic total energy = -45.1 eV/f.u.
! formation energy from raw total energies = -1393.6 meV/atom

---

! Y2HgRh PBE relaxed; values from VASP
&SYSTEM
  ibrav = 0, nat = 4, ntyp = 3
/
ATOMIC_SPECIES
Hg 200.59 Hg.upf
Rh 102.91 Rh.upf
Y 88.91 Y.upf
CELL_PARAMETERS angstrom
6.615 0.135 -0.021
3.937 5.318 0.021
-4.894 -3.466 2.796
ATOMIC_POSITIONS angstrom
Hg 4.737 2.448 0.000
Rh 2.086 2.252 1.409
Y 0.497 0.257 0.000
Y 3.614 -0.243 1.388
! size of the total moment = 0.00 μB/cell
! calculated formation energy = -0.4856 eV/atom
! DOS at the Fermi energy = 3.6 states/eV per cell
! electronic total energy = -22.5 eV/f.u.

---

! SiNiS PBE relaxed; values from VASP
&SYSTEM
  ibrav = 0, nat = 3, ntyp = 3
/
ATOMIC_SPECIES
Ni 58.69 Ni.upf
S 32.06 S.upf
Si 28.09 Si.upf
CELL_PARAMETERS angstrom
-3.008 0.325 2.000
-1.497 -1.900 -1.943
1.846 -3.362 1.866
ATOMIC_POSITIONS angstrom
Ni -0.922 -2.621 3.273
S 0.562 -1.257 0.796
Si -0.321 -3.301 0.998
! size of the total moment = 0.00 μB/cell
! DOS at the Fermi energy = 0.6 states/eV per cell
! electronic total energy = -15.9 eV/f.u.
! formation energy from raw total energies = -179.2 meV/atom

---

! Rb3Pu3CoS8 PBE relaxed; values from VASP
&SYSTEM
  ibrav = 0, nat = 15, ntyp = 4
/
ATOMIC_SPECIES
Rb 85.47 Rb.upf
Pu 244.00 Pu.upf
Co 58.93 Co.upf
S 32.06 S.upf
CELL_PARAMETERS angstrom
-6.594 -3.859 -1.986
2.687 -0.333 7.415
-3.820 7.796 -2.466
ATOMIC_POSITIONS angstrom
Rb 0.000 0.000 0.000
Rb 1.344 -0.167 3.708
Rb -1.953 -2.096 2.715
Pu -5.207 1.969 -2.226
Pu -3.863 1.802 1.482
Pu -0.566 3.732 2.474
Co -1.910 3.898 -1.233
S -1.507 1.186 2.701
S -6.219 2.418 0.262
S -4.873 -0.682 1.818
S -2.853 4.287 1.145
S -6.268 -0.509 -2.034
S -1.458 4.114 4.997
S -2.844 1.495 -1.003
S -4.882 2.110 3.966
! size of the total moment = 9.96 μB/cell
! DOS at the Fermi energy = 31.9 states/eV per cell
! electronic total energy = -104.6 eV/f.u.
! formation energy from raw total energies = -1236.3 meV/atom

---

! Mg2MnTeRu PBE relaxed; values from VASP
&SYSTEM
  ibrav = 0, nat = 5, ntyp = 4
/
ATOMIC_SPECIES
Ru 101.07 Ru.upf
Mg 24.30 Mg.upf
Te 127.60 Te.upf
Mn 54.94 Mn.upf
CELL_PARAMETERS angstrom
4.804 0.000 0.000
0.000 4.669 0.000
0.000 0.000 4.804
ATOMIC_POSITIONS angstrom
Ru 2.402 2.335 2.402
Mg 0.000 0.000 2.402
Mg 2.402 0.000 0.000
Te 0.000 2.335 0.000
Mn 0.000 0.000 0.000
! size of the total moment = 3.10 μB/cell
! DOS at the Fermi energy = 2.9 states/eV per cell
! electronic total energy = -20.1 eV/f.u.
! formation energy from raw total energies = 936.0 meV/atom

---

! Tb7Pr12Sm PBE relaxed; values from VASP
&SYSTEM
  ibrav = 0, nat = 20, ntyp = 3
/
ATOMIC_SPECIES
Tb 158.93 Tb.upf
Pr 140.91 Pr.upf
Sm 150.36 Sm.upf
CELL_PARAMETERS angstrom
6.176 0.000 -1.271
-3.208 9.875 -5.160
0.240 0.000 11.592
ATOMIC_POSITIONS angstrom
Tb -1.653 7.444 -4.042
Tb 5.471 0.005 1.742
Tb 1.655 7.439 4.050
Tb 3.088 0.000 -0.636
Tb 1.553 2.436 1.110
Tb -2.264 9.870 3.418
Tb 4.861 2.431 9.202
Pr -1.299 5.809 -1.096
Pr 0.121 1.748 5.799
Pr 1.507 6.383 -4.068
Pr 2.681 0.004 3.567
Pr 1.910 4.061 4.061
Pr -1.506 6.379 4.075
Pr 4.714 3.496 1.086
Pr 1.298 5.814 1.099
Pr 0.527 9.871 1.594
Pr 1.701 3.492 9.228
Pr 3.087 8.127 -0.638
Pr 4.507 4.066 6.257
Sm 0.000 0.000 0.000
! energy above the most stable polymorph in this dataset = 85 meV per atom
! size of the total moment = 0.00 μB/cell
! calculated formation energy = 0.2276 eV/atom
! DOS at the Fermi energy = 27.7 states/eV per cell
! electronic total energy = -89.9 eV/f.u.

---

! HgGeSe2Br PBE relaxed; values from VASP
&SYSTEM
  ibrav = 0, nat = 5, ntyp = 4
/
ATOMIC_SPECIES
Ge 72.64 Ge.upf
Se 78.96 Se.upf
Hg 200.59 Hg.upf
Br 79.90 Br.upf
CELL_PARAMETERS angstrom
-1.852 4.354 -1.854
-1.852 -2.499 -4.019
-4.506 -0.816 2.584
ATOMIC_POSITIONS angstrom
Ge 0.000 0.000 0.000
Se -0.926 -1.249 -2.009
Se -0.926 2.177 -0.927
Hg -4.105 0.520 -1.644
Br -2.253 -0.408 1.292
! energy above the most stable polymorph in this dataset = 0 meV per atom
! size of the total moment = 0.00 μB/cell
! DOS at the Fermi energy = 3.8 states/eV per cell
! electronic total energy = -12.7 eV/f.u.
! formation energy from raw total energies = 177.1 meV/atom

---

! Ho2Mg3Zn PBE relaxed; values from VASP
&SYSTEM
  ibrav = 0, nat = 6, ntyp = 3
/
ATOMIC_SPECIES
Ho 164.93 Ho.upf
Mg 24.30 Mg.upf
Zn 65.41 Zn.upf
CELL_PARAMETERS angstrom
-3.269 0.433 -0.349
0.514 -0.150 -4.993
-1.159 -8.639 0.141
ATOMIC_POSITIONS angstrom
Ho 0.238 -0.216 -2.494
Ho -0.564 -4.202 0.068
Mg -2.598 -6.965 -0.058
Mg -1.831 -1.250 -0.151
Mg -2.144 -5.568 -2.578
Zn -1.766 -2.756 -2.624
! size of the total moment = 0.00 μB/cell
! calculated formation energy = -0.1041 eV/atom
! DOS at the Fermi energy = 5.6 states/eV per cell
! electronic total energy = -15.8 eV/f.u.

---

! MnCuRu2 PBE relaxed; values from VASP
&SYSTEM
  ibrav = 0, nat = 4, ntyp = 3
/
ATOMIC_SPECIES
Cu 63.55 Cu.upf
Mn 54.94 Mn.upf
Ru 101.07 Ru.upf
CELL_PARAMETERS angstrom
-0.295 2.321 1.432
-2.727 -0.235 -0.182
-0.082 -3.794 6.133
ATOMIC_POSITIONS angstrom
Cu -0.041 -1.911 3.089
Mn -1.572 -1.780 5.188
Ru 0.000 -0.018 0.029
Ru -1.531 0.103 2.145
! size of the total moment = 3.54 μB/cell
! calculated formation energy = 0.1761 eV/atom
! DOS at the Fermi energy = 4.4 states/eV per cell
! electronic total energy = -31.1 eV/f.u.

---

! Mn2NbCoSn PBE relaxed; values from VASP
&SYSTEM
  ibrav = 0, nat = 5, ntyp = 4
/
ATOMIC_SPECIES
Nb 92.91 Nb.upf
Mn 54.94 Mn.upf
Co 58.93 Co.upf
Sn 118.71 Sn.upf
CELL_PARAMETERS angstrom
4.224 0.000 0.000
0.000 4.614 0.000
0.000 0.000 4.224
ATOMIC_POSITIONS angstrom
Nb 2.112 2.307 2.112
Mn 0.000 0.000 2.112
Mn 2.112 0.000 0.000
Co 0.000 0.000 0.000
Sn 0.000 2.307 0.000
! size of the total moment = 0.00 μB/cell
! calculated formation energy = 1.0484 eV/atom
! DOS at the Fermi energy = 8.5 states/eV per cell
! electronic total energy = -34.3 eV/f.u.

---

! AsPtRh PBE relaxed; values from VASP
&SYSTEM
  ibrav = 0, nat = 3, ntyp = 3
/
ATOMIC_SPECIES
As 74.92 As.upf
Rh 102.91 Rh.upf
Pt 195.08 Pt.upf
CELL_PARAMETERS angstrom
-0.157 -3.529 1.817
3.468 1.384 -1.353
0.585 1.576 3.111
ATOMIC_POSITIONS angstrom
As 0.571 1.538 3.036
Rh 2.699 0.929 2.038
Pt 1.211 -1.460 1.610
! size of the total moment = 0.00 μB/cell
! calculated formation energy = -0.2607 eV/atom
! DOS at the Fermi energy = 0.7 states/eV per cell
! electronic total energy = -18.8 eV/f.u.

---

! CeGeHRh3 PBE relaxed; values from VASP
&SYSTEM
  ibrav = 0, nat = 12, ntyp = 4
/
ATOMIC_SPECIES
Ce 140.12 Ce.upf
Ge 72.64 Ge.upf
H 1.01 H.upf
Rh 102.91 Rh.upf
CELL_PARAMETERS angstrom
5.705 0.000 0.000
0.000 5.778 0.000
0.000 -2.889 5.589
ATOMIC_POSITIONS angstrom
Ce 4.279 0.000 2.874
Ce 1.426 2.889 2.715
Ge 1.426 0.000 4.324
Ge 4.279 2.889 1.265
H 1.426 2.889 5.520
H 4.279 0.000 0.069
Rh 1.426 0.000 1.965
Rh 0.000 1.373 0.000
Rh 2.853 4.406 0.000
Rh 2.853 1.373 0.000
Rh 0.000 4.406 0.000
Rh 4.279 2.889 3.624
! size of the total moment = 0.44 μB/cell
! DOS at the Fermi energy = 7.2 states/eV per cell
! electronic total energy = -39.7 eV/f.u.

---

! La2YTm12 PBE relaxed; values from VASP
&SYSTEM
  ibrav = 0, nat = 30, ntyp = 3
/
ATOMIC_SPECIES
La 138.91 La.upf
Y 88.91 Y.upf
Tm 168.93 Tm.upf
CELL_PARAMETERS angstrom
6.402 -1.455 0.507
-1.455 6.402 0.507
1.281 1.281 24.709
ATOMIC_POSITIONS angstrom
La 3.782 -0.147 7.048
La -0.146 3.782 7.049
La 6.374 2.446 18.674
La 2.446 6.374 18.673
Y 1.746 5.674 0.760
Y 0.553 4.482 24.962
Tm 2.996 2.996 20.167
Tm 5.470 5.470 20.673
Tm 3.927 3.927 23.423
Tm 0.866 4.795 21.729
Tm 0.433 0.433 8.221
Tm 1.433 5.362 3.993
Tm 5.524 1.596 14.674
Tm 2.907 2.906 8.728
Tm 1.453 1.453 22.917
Tm 4.775 4.774 2.805
Tm 2.363 2.363 14.028
Tm 4.632 0.704 11.048
Tm 5.795 5.795 17.501
Tm 1.392 1.392 11.188
Tm 2.301 2.301 2.299
Tm 3.865 3.865 11.694
Tm 4.836 4.836 14.534
Tm 0.758 0.758 5.049
Tm 1.596 5.524 14.675
Tm 3.322 3.321 16.994
Tm 4.795 0.866 21.730
Tm 3.232 3.232 5.555
Tm 0.704 4.632 11.047
Tm 5.362 1.433 3.992
! size of the total moment = 0.00 μB/cell
! calculated formation energy = 0.1150 eV/atom
! DOS at the Fermi energy = 49.2 states/eV per cell
! electronic total energy = -68.3 eV/f.u.

---

! ErTlNi PBE relaxed; values from VASP
&SYSTEM
  ibrav = 0, nat = 6, ntyp = 3
/
ATOMIC_SPECIES
Tl 204.38 Tl.upf
Ni 58.69 Ni.upf
Er 167.26 Er.upf
CELL_PARAMETERS angstrom
4.883 0.000 0.000
0.000 4.001 0.000
0.000 2.000 6.993
ATOMIC_POSITIONS angstrom
Tl 3.662 4.001 5.578
Tl 1.221 2.000 1.415
Ni 2.442 0.000 0.000
Ni 0.000 0.000 0.000
Er 3.662 4.001 2.350
Er 1.221 2.000 4.642
! size of the total moment = 0.00 μB/cell
! calculated formation energy = -0.0947 eV/atom
! DOS at the Fermi energy = 3.8 states/eV per cell
! electronic total energy = -13.0 eV/f.u.

---

! Er4TePb PBE relaxed; values from VASP
&SYSTEM
  ibrav = 0, nat = 12, ntyp = 3
/
ATOMIC_SPECIES
Er 167.26 Er.upf
Te 127.60 Te.upf
Pb 207.20 Pb.upf
CELL_PARAMETERS angstrom
-2.657 7.793 0.259
-5.667 -5.813 1.395
5.582 -0.734 6.013
ATOMIC_POSITIONS angstrom
Er -2.111 -4.136 5.640
Er -0.669 2.708 5.055
Er -3.528 2.440 2.116
Er 0.558 1.436 1.276
Er 0.846 -1.208 5.539
Er 2.300 5.639 5.010
Er -0.634 5.357 2.057
Er -2.076 -1.434 2.582
Te -2.115 0.503 0.420
Te -0.077 -3.265 3.710
Pb -6.201 1.475 1.232
Pb -4.163 -2.293 4.522
! size of the total moment = 0.00 μB/cell
! DOS at the Fermi energy = 14.9 states/eV per cell
! electronic total energy = -26.0 eV/f.u.
! formation energy from raw total energies = -149.0 meV/atom

---

! PrEuTl4 PBE relaxed; values from VASP
&SYSTEM
  ibrav = 0, nat = 6, ntyp = 3
/
ATOMIC_SPECIES
Eu 151.96 Eu.upf
Pr 140.91 Pr.upf
Tl 204.38 Tl.upf
CELL_PARAMETERS angstrom
6.334 0.000 0.000
3.167 5.485 0.000
3.167 1.828 5.171
ATOMIC_POSITIONS angstrom
Eu 0.000 0.000 0.000
Pr 3.167 1.828 1.293
Tl 6.334 3.657 0.650
Tl 6.334 1.832 3.231
Tl 7.914 4.569 3.231
Tl 4.753 4.569 3.231
! size of the total moment = 7.59 μB/cell
! calculated formation energy = -0.1889 eV/atom
! DOS at the Fermi energy = 5.3 states/eV per cell
! electronic total energy = -25.7 eV/f.u.

---

! BaCaLaGd PBE relaxed; values from VASP
&SYSTEM
  ibrav = 0, nat = 4, ntyp = 4
/
ATOMIC_SPECIES
Ca 40.08 Ca.upf
Gd 157.25 Gd.upf
Ba 137.33 Ba.upf
La 138.91 La.upf
CELL_PARAMETERS angstrom
6.176 0.000 0.000
3.088 5.348 0.000
3.088 1.783 5.043
ATOMIC_POSITIONS angstrom
Ca 3.088 1.783 1.261
Gd 9.264 5.348 3.782
Ba 6.176 3.566 2.521
La 0.000 0.000 0.000
! size of the total moment = 7.62 μB/cell
! calculated formation energy = 0.1903 eV/atom
! DOS at the Fermi energy = 8.3 states/eV per cell
! electronic total energy = -22.2 eV/f.u.